Here is a relaxed structure of MnTlF3 from Alexandria. Energies are from PBE+U.

Results
* total DFT energy (no corrections): -27.06 eV/f.u.

abc: 5.7111 5.7861 7.1893
angles: 92.78 111.15 118.07
Last column: nearest neighbours and their distance in Å.
Positions (direct):
Mn 0.1717 0.3324 0.0065  6 F 2.14-2.18
Mn 0.8283 0.6676 0.9935  6 F 2.14-2.18
Tl 0.2486 0.8639 0.6146  3 F 2.57-2.60
Tl 0.7514 0.1361 0.3854  3 F 2.57-2.60
F 0.0062 0.5507 0.8185  2 Mn 2.14-2.16
F 0.2281 0.0558 0.1807  2 Mn 2.15-2.18
F 0.3872 0.3209 0.8186  2 Mn 2.15-2.16
F 0.6128 0.6791 0.1814  2 Mn 2.15-2.16
F 0.7719 0.9442 0.8193  2 Mn 2.15-2.18
F 0.9938 0.4493 0.1815  2 Mn 2.14-2.16